Record 1
VASP calculation (PBE-GGA) on a relaxed structure of Ca2HgPt.

a = 3.622 Å, b = 3.592 Å, c = 8.259 Å
α = 64.24°, β = 90.00°, γ = 90.00°
Element x y z (fractional)
Ca (0.000, 0.026, 0.974)
Ca (0.000, 0.474, 0.526)
Hg (0.500, 0.250, 0.250)
Pt (0.500, 0.750, 0.750)

## Properties
Its total energy is -3.305 eV per atom. Its space group is No. 47.

Record 2
VASP calculation (PBE-GGA) on a relaxed structure of SeI2Cl.

a = 6.357 Å, b = 8.211 Å, c = 8.634 Å
α = 107.91°, β = 108.54°, γ = 97.35°
Element x y z (fractional)
I (0.178, 0.491, 0.769)
I (0.740, 0.875, 0.657)
I (0.221, 0.626, 0.115)
I (0.680, 0.147, 0.249)
Se (0.232, 0.991, 0.107)
Se (0.183, 0.925, 0.818)
Cl (0.287, 0.849, 0.472)
Cl (0.115, 0.325, 0.392)

## Properties
Its distance to the lowest polymorph of the same formula is 2.6 kJ/mol of atoms. Its space group is No. 1. As for the formation energy from raw total energies: -0.297 eV per formula unit.

Record 3
VASP calculation (PBE-GGA) on a relaxed structure of K2Li2Ga.

a = 7.400 Å, b = 7.400 Å, c = 6.046 Å
α = 90.00°, β = 90.00°, γ = 90.00°
Element x y z (fractional)
K (0.188, 0.688, 0.500)
K (0.688, 0.812, 0.500)
K (0.812, 0.312, 0.500)
K (0.312, 0.188, 0.500)
Ga (0.000, 0.000, 0.000)
Ga (0.500, 0.500, 0.000)
Li (0.340, 0.840, 0.000)
Li (0.840, 0.660, 0.000)
Li (0.660, 0.160, 0.000)
Li (0.160, 0.340, 0.000)

## Properties
Its distance to the lowest polymorph of the same formula is 0.0 kJ/mol of atoms. Its space group is No. 127.